Entry 1:
FeBMo2Ir: relaxed, PBE-GGA.

It has space group P4/mmm (No. 123), with a = 4.384 Å, b = 4.384 Å, c = 4.394 Å, α = 90.00°, β = 90.00° and γ = 90.00°. The asymmetric unit holds Fe at (0.000, 0.000, 0.000), B at (0.500, 0.500, 0.500), Mo at (0.000, 0.500, 0.000) and Ir at (0.000, 0.000, 0.500).

As for the calculated density: 8.86 g cm⁻³. For the raw total energy, the calculation gives -7.203 eV per atom. The energy of formation from the pure elements is 1.93 eV per atom. Its density of states at the Fermi level is 1.393 states/eV/atom. For the size of the total moment, the calculation gives 0.00 μB per atom. The calculated volume comes out at 16.89 A^3/atom.

=====

Entry 2:
AsHRuSe2: relaxed, PBE-GGA.

It has space group P4/mmm (No. 123), with a = 4.640 Å, b = 4.640 Å, c = 3.443 Å, α = 90.00°, β = 90.00° and γ = 90.00°. The asymmetric unit holds As at (0.000, 0.000, 0.000), H at (0.000, 0.000, 0.500), Ru at (0.500, 0.500, 0.000) and Se at (0.000, 0.500, 0.500).

As for the calculated density: 7.50 g cm⁻³. For the raw total energy, the calculation gives -4.136 eV per atom. Its density of states at the Fermi level is 0.577 states/eV/atom. For the size of the total moment, the calculation gives 0.00 μB per atom. The calculated volume comes out at 14.82 A^3/atom.

=====

Entry 3:
AgAsPb2W: relaxed, PBE-GGA.

It has space group P4/mmm (No. 123), with a = 5.595 Å, b = 5.595 Å, c = 4.753 Å, α = 90.00°, β = 90.00° and γ = 90.00°. The asymmetric unit holds Ag at (0.000, 0.000, 0.000), As at (0.000, 0.000, 0.500), Pb at (0.000, 0.500, 0.500) and W at (0.500, 0.500, 0.000).

As for the calculated density: 8.71 g cm⁻³. For the raw total energy, the calculation gives -4.128 eV per atom. The energy of formation from the pure elements is 1.45 eV per atom. Its density of states at the Fermi level is 0.598 states/eV/atom. For the size of the total moment, the calculation gives 0.78 μB per atom. The calculated volume comes out at 29.77 A^3/atom.